# VGeIr

A relaxed VGeIr crystal (PBE, Alexandria via LeMat-Bulk).

The space-group type is P-6m2. Its total moment is 0.00 μB per cell. Its total DFT energy (no corrections) is -23.73 eV/cell.

```
3
Lattice="4.235 0.000 0.000 -2.117 3.667 0.000 0.000 0.000 2.787" Properties=species:S:1:pos:R:3 pbc="T T T"
V 0.000 0.000 0.000
Ge 2.117 1.222 1.393
Ir 0.000 2.445 1.393
```